Record 1
Below is an optimized crystal structure of V2InBiO8, with properties calculated at the PBE with a Hubbard U level.

## Properties
DOS at the Fermi energy	0.0	states/eV per cell
uncorrected energy	-0.4956	Ry/atom

```
data_V2InBiO8
_cell_length_a 5.7658
_cell_length_b 5.7658
_cell_length_c 6.5656
_cell_angle_alpha 90.00
_cell_angle_beta 90.00
_cell_angle_gamma 120.00
_symmetry_space_group_name_H-M 'P -3 m 1'
_symmetry_Int_Tables_number 164
_symmetry_space_group_name_Hall '-P 3 2"'
loop_
_atom_site_label
_atom_site_type_symbol
_atom_site_fract_x
_atom_site_fract_y
_atom_site_fract_z
V1 V 0.3333 0.6667 0.2968
In1 In 0.0000 0.0000 0.0000
Bi1 Bi 0.0000 0.0000 0.5000
O1 O 0.1610 0.3220 0.2238
O2 O 0.3333 0.6667 0.5474
```

---

Record 2
Below is an optimized crystal structure of VIn2BiO6, with properties calculated at the PBE with a Hubbard U level.

## Properties
DOS at the Fermi energy	0.0	states/eV per cell
uncorrected energy	-0.4554	Ry/atom

```
data_VIn2BiO6
_cell_length_a 5.5956
_cell_length_b 5.5956
_cell_length_c 5.8780
_cell_angle_alpha 90.29
_cell_angle_beta 117.79
_cell_angle_gamma 119.45
_symmetry_space_group_name_H-M 'P 1'
_symmetry_Int_Tables_number 1
loop_
_symmetry_equiv_pos_as_xyz
'x,y,z'
loop_
_atom_site_label
_atom_site_type_symbol
_atom_site_fract_x
_atom_site_fract_y
_atom_site_fract_z
V1 V 0.0000 0.0000 0.0000
In1 In 0.5804 0.7955 0.3708
In2 In 0.5972 0.3057 0.8998
Bi1 Bi 0.0281 0.5173 0.5466
O1 O 0.1021 0.9420 0.7200
O2 O 0.1067 0.7307 0.1863
O3 O 0.4846 0.3945 0.1984
O4 O 0.5444 0.6200 0.7153
O5 O 0.7889 0.1769 0.7182
O6 O 0.8166 0.1010 0.1970
```

---

Record 3
Below is an optimized crystal structure of VInBi2O6, with properties calculated at the PBE with a Hubbard U level.

## Properties
DOS at the Fermi energy	0.0	states/eV per cell
uncorrected energy	-0.4604	Ry/atom

```
data_VInBi2O6
_cell_length_a 5.7711
_cell_length_b 5.7711
_cell_length_c 14.4948
_cell_angle_alpha 90.00
_cell_angle_beta 90.00
_cell_angle_gamma 120.00
_symmetry_space_group_name_H-M 'R 3'
_symmetry_Int_Tables_number 146
_symmetry_space_group_name_Hall 'R 3'
loop_
_atom_site_label
_atom_site_type_symbol
_atom_site_fract_x
_atom_site_fract_y
_atom_site_fract_z
V1 V 0.0000 0.0000 0.0000
In1 In 0.0000 0.0000 0.4945
Bi1 Bi 0.0000 0.0000 0.2168
Bi2 Bi 0.0000 0.0000 0.7139
O1 O 0.0144 0.4169 0.2671
O2 O 0.0368 0.6116 0.7631
```